Arrangement w

Here is crystalline Na5B6C4 at its relaxed geometry from Alexandria via LeMat-Bulk. Energies are from GGA-PBE.

Properties
**Fermi-level density of states**: 0.118 states/eV per atom
**Density**: 2.52 g cm⁻³
**M_tot**: 0.00 μB per cell
**Space-group type**: C2/m

The structure in POSCAR format:
```
Na5B6C4
1.0
8.827 -1.417 0.000
8.827 1.417 0.000
-5.320 0.000 11.995
Na B C
10 12 8
direct
0.000 0.000 0.000
0.000 0.000 0.500
0.199 0.199 0.399
0.200 0.200 0.901
0.400 0.400 0.298
0.400 0.400 0.802
0.600 0.600 0.198
0.600 0.600 0.702
0.800 0.800 0.099
0.801 0.801 0.601
0.036 0.036 0.824
0.172 0.172 0.595
0.231 0.231 0.211
0.366 0.366 0.983
0.368 0.368 0.485
0.439 0.439 0.629
0.561 0.561 0.371
0.632 0.632 0.515
0.634 0.634 0.017
0.769 0.769 0.789
0.828 0.828 0.405
0.964 0.964 0.176
0.030 0.030 0.307
0.166 0.166 0.081
0.236 0.236 0.724
0.432 0.432 0.113
0.568 0.568 0.887
0.764 0.764 0.276
0.834 0.834 0.919
0.970 0.970 0.693
```

---

Arrangement x

Here is crystalline Na5B6C4 at its relaxed geometry from Alexandria via LeMat-Bulk. Energies are from GGA-PBE.

Properties
**Fermi-level density of states**: 0.230 states/eV per atom
**Density**: 2.52 g cm⁻³
**M_tot**: 0.00 μB per cell
**Space-group type**: P-1

The structure in POSCAR format:
```
Na5B6C4
1.0
4.952 0.000 0.000
2.475 7.166 0.000
0.001 2.873 8.478
Na B C
10 12 8
direct
0.000 0.000 0.000
0.098 0.800 0.502
0.199 0.600 0.000
0.299 0.402 0.498
0.401 0.200 0.002
0.500 0.000 0.500
0.599 0.800 0.998
0.701 0.598 0.502
0.801 0.400 0.000
0.902 0.200 0.498
0.016 0.300 0.750
0.167 0.300 0.250
0.208 0.911 0.750
0.384 0.900 0.250
0.419 0.489 0.750
0.482 0.700 0.750
0.518 0.300 0.250
0.581 0.511 0.250
0.616 0.100 0.750
0.792 0.089 0.250
0.833 0.700 0.750
0.984 0.700 0.250
0.084 0.498 0.749
0.118 0.098 0.249
0.276 0.105 0.751
0.318 0.706 0.250
0.682 0.294 0.750
0.724 0.895 0.249
0.882 0.902 0.751
0.916 0.502 0.251
```

---

Relative energies, meV per atom: arrangement w 0; arrangement x 28.

---

Arrangement w

Here is crystalline Na5B6C4 at its relaxed geometry from Alexandria via LeMat-Bulk. Energies are from GGA-PBE.

Properties
**Fermi-level density of states**: 0.099 states/eV per atom
**Density**: 2.53 g cm⁻³
**M_tot**: 0.00 μB per cell
**Space-group type**: P-6m2

The structure in POSCAR format:
```
Na5B6C4
1.0
2.854 0.000 0.000
-1.427 2.472 0.000
0.000 0.000 42.399
Na B C
10 12 8
direct
0.000 0.000 0.050
0.000 0.000 0.149
0.000 0.000 0.249
0.000 0.000 0.351
0.000 0.000 0.450
0.000 0.000 0.550
0.000 0.000 0.649
0.000 0.000 0.751
0.000 0.000 0.851
0.000 0.000 0.950
0.333 0.667 0.000
0.333 0.667 0.198
0.333 0.667 0.300
0.333 0.667 0.401
0.333 0.667 0.599
0.333 0.667 0.700
0.333 0.667 0.802
0.667 0.333 0.099
0.667 0.333 0.300
0.667 0.333 0.500
0.667 0.333 0.700
0.667 0.333 0.901
0.333 0.667 0.099
0.333 0.667 0.500
0.333 0.667 0.901
0.667 0.333 0.000
0.667 0.333 0.198
0.667 0.333 0.401
0.667 0.333 0.599
0.667 0.333 0.802
```

---

Arrangement x

Here is crystalline Na5B6C4 at its relaxed geometry from Alexandria via LeMat-Bulk. Energies are from GGA-PBE.

Properties
**Fermi-level density of states**: 0.269 states/eV per atom
**Density**: 2.52 g cm⁻³
**M_tot**: 0.00 μB per cell
**Space-group type**: P-1

The structure in POSCAR format:
```
Na5B6C4
1.0
4.952 0.000 0.000
2.475 7.165 0.000
2.475 1.443 8.480
Na B C
10 12 8
direct
0.000 0.000 0.000
0.000 0.500 0.500
0.199 0.100 0.500
0.202 0.599 0.998
0.398 0.199 0.002
0.399 0.700 0.502
0.601 0.300 0.498
0.602 0.801 0.998
0.798 0.401 0.002
0.801 0.900 0.500
0.016 0.850 0.750
0.165 0.750 0.250
0.234 0.450 0.750
0.358 0.361 0.250
0.368 0.850 0.750
0.430 0.062 0.750
0.570 0.938 0.250
0.632 0.150 0.250
0.642 0.639 0.750
0.766 0.550 0.250
0.835 0.250 0.750
0.984 0.150 0.250
0.032 0.352 0.250
0.168 0.256 0.750
0.234 0.947 0.250
0.426 0.555 0.251
0.574 0.445 0.749
0.766 0.053 0.750
0.832 0.744 0.250
0.968 0.648 0.750
```

---

Arrangement y

Here is crystalline Na5B6C4 at its relaxed geometry from Alexandria via LeMat-Bulk. Energies are from GGA-PBE.

Properties
**Fermi-level density of states**: 0.134 states/eV per atom
**Density**: 2.52 g cm⁻³
**M_tot**: 0.00 μB per cell
**Space-group type**: C2/m

The structure in POSCAR format:
```
Na5B6C4
1.0
8.843 -1.417 0.000
8.843 1.417 0.000
-5.313 0.000 11.982
Na B C
10 12 8
direct
0.000 0.000 0.000
0.000 0.000 0.500
0.200 0.200 0.900
0.201 0.201 0.399
0.399 0.399 0.301
0.400 0.400 0.802
0.600 0.600 0.198
0.601 0.601 0.699
0.799 0.799 0.601
0.800 0.800 0.100
0.034 0.034 0.817
0.161 0.161 0.572
0.227 0.227 0.204
0.233 0.233 0.715
0.370 0.370 0.989
0.437 0.437 0.623
0.563 0.563 0.377
0.630 0.630 0.011
0.767 0.767 0.285
0.773 0.773 0.796
0.839 0.839 0.428
0.966 0.966 0.183
0.031 0.031 0.314
0.163 0.163 0.076
0.371 0.371 0.491
0.435 0.435 0.119
0.565 0.565 0.881
0.629 0.629 0.509
0.837 0.837 0.924
0.969 0.969 0.686
```

---

Arrangement z

Here is crystalline Na5B6C4 at its relaxed geometry from Alexandria via LeMat-Bulk. Energies are from GGA-PBE.

Properties
**Fermi-level density of states**: 0.246 states/eV per atom
**Density**: 2.52 g cm⁻³
**M_tot**: 0.01 μB per cell
**Space-group type**: Cmcm

The structure in POSCAR format:
```
Na5B6C4
1.0
1.417 -12.504 0.000
1.417 12.504 0.000
0.000 0.000 8.477
Na B C
10 12 8
direct
0.000 0.000 0.000
0.000 0.000 0.500
0.200 0.800 0.502
0.200 0.800 0.998
0.401 0.599 0.000
0.401 0.599 0.500
0.599 0.401 0.000
0.599 0.401 0.500
0.800 0.200 0.002
0.800 0.200 0.498
0.064 0.936 0.750
0.131 0.869 0.250
0.267 0.733 0.250
0.273 0.727 0.750
0.339 0.661 0.250
0.467 0.533 0.750
0.533 0.467 0.250
0.661 0.339 0.750
0.727 0.273 0.250
0.733 0.267 0.750
0.869 0.131 0.750
0.936 0.064 0.250
0.065 0.935 0.250
0.129 0.871 0.750
0.337 0.663 0.750
0.468 0.532 0.250
0.532 0.468 0.750
0.663 0.337 0.250
0.871 0.129 0.250
0.935 0.065 0.750
```

---

Relative energies, meV per atom: arrangement w 20; arrangement x 28; arrangement y 0; arrangement z 5.

---

Arrangement w

Here is crystalline Na5B6C4 at its relaxed geometry from Alexandria via LeMat-Bulk. Energies are from GGA-PBE.

Properties
**Fermi-level density of states**: 0.175 states/eV per atom
**Density**: 2.52 g cm⁻³
**M_tot**: 0.00 μB per cell
**Space-group type**: C2

The structure in POSCAR format:
```
Na5B6C4
1.0
7.100 -2.489 0.000
7.100 2.489 0.000
-2.842 0.000 8.491
Na B C
10 12 8
direct
0.050 0.050 0.248
0.150 0.150 0.752
0.250 0.248 0.248
0.351 0.349 0.752
0.451 0.449 0.249
0.551 0.549 0.751
0.651 0.649 0.248
0.752 0.750 0.752
0.850 0.850 0.248
0.950 0.950 0.752
0.133 0.467 0.000
0.145 0.855 0.500
0.239 0.560 0.500
0.333 0.667 0.000
0.362 0.047 0.500
0.440 0.761 0.500
0.533 0.867 0.000
0.578 0.220 0.500
0.733 0.067 0.000
0.780 0.422 0.500
0.933 0.267 0.000
0.953 0.638 0.500
0.036 0.365 0.500
0.067 0.733 0.000
0.267 0.933 0.000
0.467 0.133 0.000
0.635 0.964 0.500
0.667 0.333 0.000
0.836 0.164 0.500
0.867 0.533 0.000
```

---

Arrangement x

Here is crystalline Na5B6C4 at its relaxed geometry from Alexandria via LeMat-Bulk. Energies are from GGA-PBE.

Properties
**Fermi-level density of states**: 0.253 states/eV per atom
**Density**: 2.52 g cm⁻³
**M_tot**: 0.00 μB per cell
**Space-group type**: Cmcm

The structure in POSCAR format:
```
Na5B6C4
1.0
1.416 -12.496 0.000
1.416 12.496 0.000
0.000 0.000 8.484
Na B C
10 12 8
direct
0.000 0.000 0.000
0.000 0.000 0.500
0.200 0.800 0.000
0.200 0.800 0.500
0.400 0.600 0.503
0.400 0.600 0.997
0.600 0.400 0.003
0.600 0.400 0.497
0.800 0.200 0.000
0.800 0.200 0.500
0.067 0.933 0.250
0.069 0.931 0.750
0.139 0.861 0.250
0.264 0.736 0.750
0.334 0.666 0.250
0.473 0.527 0.750
0.527 0.473 0.250
0.666 0.334 0.750
0.736 0.264 0.250
0.861 0.139 0.750
0.931 0.069 0.250
0.933 0.067 0.750
0.135 0.865 0.750
0.268 0.732 0.250
0.329 0.671 0.750
0.463 0.537 0.250
0.537 0.463 0.750
0.671 0.329 0.250
0.732 0.268 0.750
0.865 0.135 0.250
```

---

Arrangement y

Here is crystalline Na5B6C4 at its relaxed geometry from Alexandria via LeMat-Bulk. Energies are from GGA-PBE.

Properties
**Fermi-level density of states**: 0.199 states/eV per atom
**Density**: 2.52 g cm⁻³
**M_tot**: 0.00 μB per cell
**Space-group type**: P2_1/m

The structure in POSCAR format:
```
Na5B6C4
1.0
4.953 0.000 0.000
0.000 8.476 0.000
-2.477 0.000 7.166
Na B C
10 12 8
direct
0.000 0.000 0.000
0.000 0.500 0.000
0.201 0.002 0.401
0.201 0.498 0.401
0.399 0.502 0.801
0.399 0.998 0.801
0.601 0.002 0.199
0.601 0.498 0.199
0.799 0.502 0.599
0.799 0.998 0.599
0.084 0.750 0.800
0.134 0.250 0.600
0.266 0.750 0.200
0.268 0.250 0.200
0.331 0.250 0.988
0.458 0.750 0.589
0.542 0.250 0.411
0.669 0.750 0.012
0.732 0.750 0.800
0.734 0.250 0.800
0.866 0.750 0.400
0.916 0.250 0.200
0.068 0.250 0.794
0.132 0.750 0.598
0.334 0.750 0.003
0.474 0.250 0.606
0.526 0.750 0.394
0.666 0.250 0.997
0.868 0.250 0.402
0.932 0.750 0.206
```

---

Relative energies, meV per atom: arrangement w 18; arrangement x 0; arrangement y 25.

---

Arrangement w

Here is crystalline Na5B9C at its relaxed geometry from Alexandria via LeMat-Bulk. Energies are from GGA-PBE.

Properties
**Fermi-level density of states**: 0.288 states/eV per atom
**Density**: 2.24 g cm⁻³
**M_tot**: 0.00 μB per cell
**Space-group type**: Cmcm

The structure in POSCAR format:
```
Na5B9C
1.0
1.401 -13.597 0.000
1.401 13.597 0.000
0.000 0.000 8.740
Na B C
10 18 2
direct
0.000 0.000 0.000
0.000 0.000 0.500
0.200 0.800 0.000
0.200 0.800 0.500
0.401 0.599 0.502
0.401 0.599 0.998
0.599 0.401 0.002
0.599 0.401 0.498
0.800 0.200 0.000
0.800 0.200 0.500
0.067 0.933 0.250
0.125 0.875 0.750
0.129 0.871 0.250
0.268 0.732 0.750
0.273 0.727 0.250
0.330 0.670 0.750
0.334 0.666 0.250
0.462 0.538 0.250
0.474 0.526 0.750
0.526 0.474 0.250
0.538 0.462 0.750
0.666 0.334 0.750
0.670 0.330 0.250
0.727 0.273 0.750
0.732 0.268 0.250
0.871 0.129 0.750
0.875 0.125 0.250
0.933 0.067 0.750
0.068 0.932 0.750
0.932 0.068 0.250
```

---

Arrangement x

Here is crystalline Na5B9C at its relaxed geometry from Alexandria via LeMat-Bulk. Energies are from GGA-PBE.

Properties
**Fermi-level density of states**: 0.261 states/eV per atom
**Density**: 2.23 g cm⁻³
**M_tot**: 0.00 μB per cell
**Space-group type**: P-1

The structure in POSCAR format:
```
Na5B9C
1.0
5.111 0.000 0.000
-2.553 7.510 0.000
-0.001 -3.002 8.686
Na B C
10 18 2
direct
0.000 0.000 0.000
0.097 0.200 0.499
0.200 0.400 0.000
0.303 0.601 0.501
0.403 0.800 0.999
0.500 0.000 0.500
0.597 0.200 0.001
0.697 0.399 0.499
0.800 0.600 0.000
0.903 0.800 0.501
0.032 0.701 0.750
0.060 0.482 0.750
0.122 0.882 0.250
0.211 0.097 0.749
0.288 0.906 0.749
0.318 0.306 0.250
0.369 0.101 0.250
0.414 0.503 0.751
0.489 0.300 0.750
0.511 0.700 0.250
0.586 0.497 0.249
0.631 0.899 0.750
0.682 0.694 0.750
0.712 0.094 0.251
0.789 0.903 0.251
0.878 0.118 0.750
0.940 0.518 0.250
0.968 0.299 0.250
0.192 0.700 0.249
0.808 0.300 0.751
```

---

Relative energies, meV per atom: arrangement w 0; arrangement x 13.